# 1
The following is a DFT calculation (GGA-PBE) of LiAc2As3Pt4 after structural relaxation.

Values from the calculation:
Energy of formation from the pure elements, meV per atom: -940
Final energy, Ha/atom: -0.21184
Magnetic moment, μB per formula unit: 0.00
Density of states at the Fermi level, states/eV/cell: 5.03
Volume, Å³ per atom: 20.4

Cell lengths 4.464, 4.464, 10.262 Å; angles 90.00, 90.00, 90.00 degrees
Space group P-4m2 (No. 115)
Inequivalent atoms, fractional coordinates:
Li 0.000 0.000 0.000 [1 per cell]
Ac 0.000 0.500 0.747 [2 per cell]
As 0.000 0.500 0.368 [2 per cell]
As 0.500 0.500 0.000 [1 per cell]
Pt 0.000 0.000 0.500 [1 per cell]
Pt 0.000 0.500 0.121 [2 per cell]
Pt 0.500 0.500 0.500 [1 per cell]

---

# 2
The following is a DFT calculation (GGA-PBE) of LiAcAsRh after structural relaxation.

Values from the calculation:
Energy of formation from the pure elements, meV per atom: -584
Final energy, Ha/atom: -0.18706
Magnetic moment, μB per formula unit: 0.00
Density of states at the Fermi level, states/eV/cell: 6.91
Volume, Å³ per atom: 20.0

Cell lengths 6.845, 6.845, 6.845 Å; angles 90.00, 90.00, 90.00 degrees
Space group F-43m (No. 216)
Inequivalent atoms, fractional coordinates:
Li 0.000 0.000 0.000 [4 per cell]
Ac 0.250 0.250 0.750 [4 per cell]
As 0.250 0.250 0.250 [4 per cell]
Rh 0.000 0.000 0.500 [4 per cell]

---

# 3
The following is a DFT calculation (GGA-PBE) of LiAcAs2Rh after structural relaxation.

Values from the calculation:
Energy of formation from the pure elements, meV per atom: -942
Final energy, Ha/atom: -0.20128
Magnetic moment, μB per formula unit: 0.00
Density of states at the Fermi level, states/eV/cell: 3.20
Volume, Å³ per atom: 19.9

Cell lengths 4.323, 4.323, 10.674 Å; angles 90.00, 90.00, 90.00 degrees
Space group I-4m2 (No. 119)
Inequivalent atoms, fractional coordinates:
Li 0.000 0.000 0.000 [2 per cell]
Ac 0.000 0.500 0.250 [2 per cell]
As 0.000 0.500 0.622 [4 per cell]
Rh 0.000 0.000 0.500 [2 per cell]